(1)
## BaAl2Si (PBE)

Data for an optimized crystal structure of BaAl2Si.

Results
The formation energy without anion corrections is 0.01 eV/atom. The raw total energy comes out at -3.699 eV/atom. For the density of states at the Fermi level, the calculation gives 0.264 states/eV/atom. The value obtained for the theoretical density is 3.84 g/cm3.

Cell and atoms, written as CIF:
```
data_BaAl2Si
_chemical_formula_sum 'Ba1 Al2 Si1'
_symmetry_space_group_name_H-M 'P 1'
_symmetry_Int_Tables_number 1
_symmetry_space_group_name_Hall 'P 1'
_cell_length_a 3.534
_cell_length_b 3.534
_cell_length_c 7.599
_cell_angle_alpha 90.00
_cell_angle_beta 90.00
_cell_angle_gamma 90.00
loop_
_atom_site_label
_atom_site_type_symbol
_atom_site_fract_x
_atom_site_fract_y
_atom_site_fract_z
Ba1 Ba 0.500 0.500 0.250
Si1 Si 0.500 0.500 0.750
Al1 Al 0.000 0.000 0.921
Al2 Al 0.000 0.000 0.579
```

(2)
## ZrTe2Br5 (PBE)

Data for an optimized crystal structure of ZrTe2Br5.

Results
The formation energy without anion corrections is -0.78 eV/atom. The raw total energy comes out at -3.683 eV/atom. The value obtained for the distance to the lowest polymorph of the same formula is 1.01 eV per formula unit. The value obtained for the theoretical density is 3.06 g/cm3.

Cell and atoms, written as CIF:
```
data_ZrTe2Br5
_chemical_formula_sum 'Zr1 Te2 Br5'
_symmetry_space_group_name_H-M 'P 1'
_symmetry_Int_Tables_number 1
_symmetry_space_group_name_Hall 'P 1'
_cell_length_a 7.434
_cell_length_b 8.708
_cell_length_c 8.449
_cell_angle_alpha 66.72
_cell_angle_beta 63.24
_cell_angle_gamma 57.89
loop_
_atom_site_label
_atom_site_type_symbol
_atom_site_fract_x
_atom_site_fract_y
_atom_site_fract_z
Br1 Br 0.309 0.042 0.922
Br2 Br 0.964 0.838 0.355
Br3 Br 0.606 0.261 0.087
Te1 Te 0.494 0.608 0.474
Br4 Br 0.018 0.694 0.971
Br5 Br 0.981 0.099 0.653
Zr1 Zr 0.974 0.985 0.017
Te2 Te 0.876 0.473 0.520
```

(3)
## CsH2F (PBE)

Data for an optimized crystal structure of CsH2F.

Results
The raw total energy comes out at -3.677 eV/atom. For the density of states at the Fermi level, the calculation gives 0.000 states/eV/atom. The value obtained for the theoretical density is 3.08 g/cm3.

Cell and atoms, written as CIF:
```
data_CsH2F
_chemical_formula_sum 'Cs2 H4 F2'
_symmetry_space_group_name_H-M 'P 1'
_symmetry_Int_Tables_number 1
_symmetry_space_group_name_Hall 'P 1'
_cell_length_a 4.244
_cell_length_b 10.201
_cell_length_c 4.205
_cell_angle_alpha 90.00
_cell_angle_beta 90.00
_cell_angle_gamma 114.33
loop_
_atom_site_label
_atom_site_type_symbol
_atom_site_fract_x
_atom_site_fract_y
_atom_site_fract_z
F1 F 0.098 0.849 0.250
H1 H 0.213 0.462 0.161
H2 H 0.787 0.538 0.661
Cs1 Cs 0.416 0.166 0.250
H3 H 0.213 0.462 0.339
H4 H 0.787 0.538 0.839
F2 F 0.902 0.151 0.750
Cs2 Cs 0.584 0.834 0.750
```

(4)
## KIr (PBE)

Data for an optimized crystal structure of KIr.

Results
The raw total energy comes out at -3.758 eV/atom. For the density of states at the Fermi level, the calculation gives 1.415 states/eV/atom. The value obtained for the distance to the lowest polymorph of the same formula is 1.71 eV per formula unit. The value obtained for the theoretical density is 3.31 g/cm3.

Cell and atoms, written as CIF:
```
data_KIr
_chemical_formula_sum 'K8 Ir8'
_symmetry_space_group_name_H-M 'P 1'
_symmetry_Int_Tables_number 1
_symmetry_space_group_name_Hall 'P 1'
_cell_length_a 9.753
_cell_length_b 9.753
_cell_length_c 9.753
_cell_angle_alpha 90.00
_cell_angle_beta 90.00
_cell_angle_gamma 90.00
loop_
_atom_site_label
_atom_site_type_symbol
_atom_site_fract_x
_atom_site_fract_y
_atom_site_fract_z
Ir1 Ir 0.407 0.593 0.593
K1 K 0.790 0.210 0.790
Ir2 Ir 0.593 0.593 0.407
Ir3 Ir 0.407 0.407 0.407
Ir4 Ir 0.593 0.407 0.593
K2 K 0.210 0.210 0.210
K3 K 0.710 0.710 0.710
K4 K 0.790 0.790 0.210
K5 K 0.710 0.290 0.290
Ir5 Ir 0.093 0.093 0.907
K6 K 0.290 0.710 0.290
Ir6 Ir 0.907 0.907 0.907
K7 K 0.290 0.290 0.710
K8 K 0.210 0.790 0.790
Ir7 Ir 0.907 0.093 0.093
Ir8 Ir 0.093 0.907 0.093
```

(5)
## Tm5Mg2 (PBE)

Data for an optimized crystal structure of Tm5Mg2.

Results
The raw total energy comes out at -3.665 eV/atom. For the density of states at the Fermi level, the calculation gives 1.063 states/eV/atom. The value obtained for the theoretical density is 7.53 g/cm3.

Cell and atoms, written as CIF:
```
data_Tm5Mg2
_chemical_formula_sum 'Tm5 Mg2'
_symmetry_space_group_name_H-M 'P 1'
_symmetry_Int_Tables_number 1
_symmetry_space_group_name_Hall 'P 1'
_cell_length_a 3.446
_cell_length_b 3.446
_cell_length_c 16.780
_cell_angle_alpha 95.89
_cell_angle_beta 95.89
_cell_angle_gamma 90.00
loop_
_atom_site_label
_atom_site_type_symbol
_atom_site_fract_x
_atom_site_fract_y
_atom_site_fract_z
Tm1 Tm 0.850 0.850 0.700
Mg1 Mg 0.720 0.720 0.440
Tm2 Tm 0.575 0.575 0.151
Mg2 Mg 0.280 0.280 0.560
Tm3 Tm 0.150 0.150 0.300
Tm4 Tm 0.000 0.000 0.000
Tm5 Tm 0.425 0.425 0.849
```

(6)
## Ca2NbSnN4 (PBE)

Data for an optimized crystal structure of Ca2NbSnN4.

Results
The formation energy without anion corrections is -0.71 eV/atom. The raw total energy comes out at -7.131 eV/atom. For the density of states at the Fermi level, the calculation gives 0.289 states/eV/atom. The value obtained for the theoretical density is 5.50 g/cm3.

Cell and atoms, written as CIF:
```
data_Ca2NbSnN4
_chemical_formula_sum 'Ca2 Nb1 Sn1 N4'
_symmetry_space_group_name_H-M 'P 1'
_symmetry_Int_Tables_number 1
_symmetry_space_group_name_Hall 'P 1'
_cell_length_a 3.269
_cell_length_b 5.809
_cell_length_c 5.866
_cell_angle_alpha 109.47
_cell_angle_beta 90.00
_cell_angle_gamma 90.00
loop_
_atom_site_label
_atom_site_type_symbol
_atom_site_fract_x
_atom_site_fract_y
_atom_site_fract_z
N1 N 0.000 0.729 0.220
N2 N 0.500 0.253 0.212
Ca1 Ca 0.500 0.000 0.500
Nb1 Nb 0.500 0.500 0.000
N3 N 0.500 0.747 0.788
Ca2 Ca 0.000 0.500 0.500
Sn1 Sn 0.000 0.000 0.000
N4 N 0.000 0.271 0.780
```

(7)
## LuAgPdAu (PBE)

Data for an optimized crystal structure of LuAgPdAu.

Results
The raw total energy comes out at -4.591 eV/atom. For the density of states at the Fermi level, the calculation gives 0.356 states/eV/atom. The value obtained for the theoretical density is 12.80 g/cm3.

Cell and atoms, written as CIF:
```
data_LuAgPdAu
_chemical_formula_sum 'Lu1 Ag1 Pd1 Au1'
_symmetry_space_group_name_H-M 'P 1'
_symmetry_Int_Tables_number 1
_symmetry_space_group_name_Hall 'P 1'
_cell_length_a 4.755
_cell_length_b 4.755
_cell_length_c 4.755
_cell_angle_alpha 60.00
_cell_angle_beta 60.00
_cell_angle_gamma 60.00
loop_
_atom_site_label
_atom_site_type_symbol
_atom_site_fract_x
_atom_site_fract_y
_atom_site_fract_z
Au1 Au 0.250 0.250 0.250
Ag1 Ag 0.500 0.500 0.500
Pd1 Pd 0.750 0.750 0.750
Lu1 Lu 0.000 0.000 0.000
```

(8)
## PbCl2O (PBE)

Data for an optimized crystal structure of PbCl2O.

Results
The formation energy without anion corrections is -0.12 eV/atom. The raw total energy comes out at -3.211 eV/atom. For the density of states at the Fermi level, the calculation gives 1.298 states/eV/atom. The value obtained for the distance to the lowest polymorph of the same formula is 0.00 eV per formula unit. The value obtained for the theoretical density is 5.61 g/cm3.

Cell and atoms, written as CIF:
```
data_PbCl2O
_chemical_formula_sum 'Pb1 Cl2 O1'
_symmetry_space_group_name_H-M 'P 1'
_symmetry_Int_Tables_number 1
_symmetry_space_group_name_Hall 'P 1'
_cell_length_a 4.975
_cell_length_b 4.975
_cell_length_c 4.975
_cell_angle_alpha 60.00
_cell_angle_beta 60.00
_cell_angle_gamma 60.00
loop_
_atom_site_label
_atom_site_type_symbol
_atom_site_fract_x
_atom_site_fract_y
_atom_site_fract_z
Pb1 Pb 0.500 0.500 0.500
Cl1 Cl 0.250 0.250 0.250
O1 O 0.000 0.000 0.000
Cl2 Cl 0.750 0.750 0.750
```

(9)
## RbZr2InAg (PBE)

Data for an optimized crystal structure of RbZr2InAg.

Results
The raw total energy comes out at -3.670 eV/atom. For the density of states at the Fermi level, the calculation gives 1.677 states/eV/atom. The value obtained for the theoretical density is 4.88 g/cm3.

Cell and atoms, written as CIF:
```
data_RbZr2InAg
_chemical_formula_sum 'Rb1 Zr2 In1 Ag1'
_symmetry_space_group_name_H-M 'P 1'
_symmetry_Int_Tables_number 1
_symmetry_space_group_name_Hall 'P 1'
_cell_length_a 5.339
_cell_length_b 5.861
_cell_length_c 5.339
_cell_angle_alpha 90.00
_cell_angle_beta 90.00
_cell_angle_gamma 90.00
loop_
_atom_site_label
_atom_site_type_symbol
_atom_site_fract_x
_atom_site_fract_y
_atom_site_fract_z
In1 In 0.500 0.500 0.500
Ag1 Ag 0.000 0.000 0.000
Zr1 Zr 0.500 0.000 0.000
Rb1 Rb 0.000 0.500 0.000
Zr2 Zr 0.000 0.000 0.500
```

(10)
## Tm6ZnCd (PBE)

Data for an optimized crystal structure of Tm6ZnCd.

Results
The raw total energy comes out at -3.765 eV/atom. For the density of states at the Fermi level, the calculation gives 1.084 states/eV/atom. The value obtained for the theoretical density is 9.15 g/cm3.

Cell and atoms, written as CIF:
```
data_Tm6ZnCd
_chemical_formula_sum 'Tm6 Zn1 Cd1'
_symmetry_space_group_name_H-M 'P 1'
_symmetry_Int_Tables_number 1
_symmetry_space_group_name_Hall 'P 1'
_cell_length_a 4.970
_cell_length_b 4.970
_cell_length_c 9.435
_cell_angle_alpha 74.73
_cell_angle_beta 74.79
_cell_angle_gamma 90.00
loop_
_atom_site_label
_atom_site_type_symbol
_atom_site_fract_x
_atom_site_fract_y
_atom_site_fract_z
Tm1 Tm 0.110 0.610 0.779
Tm2 Tm 0.750 0.750 0.500
Tm3 Tm 0.890 0.390 0.221
Tm4 Tm 0.390 0.890 0.221
Cd1 Cd 0.500 0.500 0.000
Tm5 Tm 0.610 0.110 0.779
Tm6 Tm 0.250 0.250 0.500
Zn1 Zn 0.000 0.000 0.000
```

(11)
## Nd4Te2RhSe (PBE)

Data for an optimized crystal structure of Nd4Te2RhSe.

Results
The formation energy without anion corrections is -1.33 eV/atom. The raw total energy comes out at -5.855 eV/atom. For the density of states at the Fermi level, the calculation gives 0.852 states/eV/atom. The value obtained for the theoretical density is 7.11 g/cm3.

Cell and atoms, written as CIF:
```
data_Nd4Te2RhSe
_chemical_formula_sum 'Nd4 Te2 Rh1 Se1'
_symmetry_space_group_name_H-M 'P 1'
_symmetry_Int_Tables_number 1
_symmetry_space_group_name_Hall 'P 1'
_cell_length_a 4.264
_cell_length_b 7.593
_cell_length_c 7.721
_cell_angle_alpha 108.56
_cell_angle_beta 90.00
_cell_angle_gamma 90.00
loop_
_atom_site_label
_atom_site_type_symbol
_atom_site_fract_x
_atom_site_fract_y
_atom_site_fract_z
Se1 Se 0.000 0.000 0.000
Nd1 Nd 0.000 0.277 0.788
Nd2 Nd 0.500 0.750 0.776
Nd3 Nd 0.000 0.723 0.212
Te1 Te 0.000 0.500 0.500
Te2 Te 0.500 0.000 0.500
Rh1 Rh 0.500 0.500 0.000
Nd4 Nd 0.500 0.250 0.224
```

(12)
## Li3Ag3Ge2 (PBE)

Data for an optimized crystal structure of Li3Ag3Ge2.

Results
The raw total energy comes out at -3.106 eV/atom. For the density of states at the Fermi level, the calculation gives 0.405 states/eV/atom. The value obtained for the distance to the lowest polymorph of the same formula is 0.00 eV per formula unit. The value obtained for the theoretical density is 6.31 g/cm3.

Cell and atoms, written as CIF:
```
data_Li3Ag3Ge2
_chemical_formula_sum 'Li3 Ag3 Ge2'
_symmetry_space_group_name_H-M 'P 1'
_symmetry_Int_Tables_number 1
_symmetry_space_group_name_Hall 'P 1'
_cell_length_a 5.055
_cell_length_b 5.055
_cell_length_c 5.055
_cell_angle_alpha 92.46
_cell_angle_beta 92.46
_cell_angle_gamma 87.54
loop_
_atom_site_label
_atom_site_type_symbol
_atom_site_fract_x
_atom_site_fract_y
_atom_site_fract_z
Ag1 Ag 0.000 0.250 0.250
Li1 Li 0.500 0.249 0.249
Ag2 Ag 0.750 0.000 0.750
Ge1 Ge 0.254 0.254 0.746
Ag3 Ag 0.250 0.750 0.000
Ge2 Ge 0.746 0.746 0.254
Li2 Li 0.249 0.751 0.500
Li3 Li 0.751 0.500 0.751
```

(13)
## Pr2PuScTe4 (PBE)

Data for an optimized crystal structure of Pr2PuScTe4.

Results
The formation energy without anion corrections is -1.27 eV/atom. The raw total energy comes out at -6.614 eV/atom. For the density of states at the Fermi level, the calculation gives 1.583 states/eV/atom. The value obtained for the theoretical density is 7.37 g/cm3.

Cell and atoms, written as CIF:
```
data_Pr2PuScTe4
_chemical_formula_sum 'Pr2 Pu1 Sc1 Te4'
_symmetry_space_group_name_H-M 'P 1'
_symmetry_Int_Tables_number 1
_symmetry_space_group_name_Hall 'P 1'
_cell_length_a 4.376
_cell_length_b 7.616
_cell_length_c 7.730
_cell_angle_alpha 108.90
_cell_angle_beta 90.00
_cell_angle_gamma 90.00
loop_
_atom_site_label
_atom_site_type_symbol
_atom_site_fract_x
_atom_site_fract_y
_atom_site_fract_z
Te1 Te 0.000 0.753 0.235
Te2 Te 0.000 0.247 0.765
Pr1 Pr 0.500 0.000 0.500
Pu1 Pu 0.500 0.500 0.000
Te3 Te 0.500 0.234 0.229
Te4 Te 0.500 0.766 0.771
Pr2 Pr 0.000 0.500 0.500
Sc1 Sc 0.000 0.000 0.000
```